1.
DFT (PBE) results for crystalline Sc2ZnPd2 at its relaxed geometry.

Unit cell a=6.1311 b=6.1311 c=6.1311 alpha=136.67 beta=136.67 gamma=62.94
Positions (direct):
Sc1 0.2500 0.7500 0.5000
Sc2 0.7500 0.2500 0.5000
Zn1 0.0000 0.0000 0.0000
Pd1 0.3802 0.3802 0.0000
Pd2 0.6198 0.6198 0.0000

Computed properties:
Energy of formation from the pure elements (eV per atom): -0.357

=====

2.
DFT (PBE) results for crystalline TePtNO at its relaxed geometry.

Unit cell a=2.8873 b=5.9242 c=6.9821 alpha=90.00 beta=90.00 gamma=90.00
Positions (direct):
Te1 0.0000 0.2358 0.0000
Te2 0.0000 0.7642 0.5000
Pt1 0.5000 0.2984 0.4775
Pt2 0.5000 0.7016 0.9775
N1 0.0000 0.4470 0.6373
N2 0.0000 0.5530 0.1373
O1 0.5000 0.1331 0.2198
O2 0.5000 0.8669 0.7198

Computed properties:
Energy above the most stable polymorph in this dataset (meV/atom): 164

=====

3.
DFT (PBE) results for crystalline ScCuOs2 at its relaxed geometry.

Unit cell a=4.3930 b=4.3930 c=4.3930 alpha=60.00 beta=60.00 gamma=60.00
Positions (direct):
Sc1 0.0000 0.0000 0.0000
Cu1 0.2500 0.2500 0.2500
Os1 0.5000 0.5000 0.5000
Os2 0.7500 0.7500 0.7500

Computed properties:
Energy of formation from the pure elements (eV per atom): 0.071

=====

4.
DFT (PBE) results for crystalline Pr2ErCd3Ir2Pt at its relaxed geometry.

Unit cell a=4.0365 b=7.5802 c=7.5802 alpha=119.59 beta=90.00 gamma=90.00
Positions (direct):
Pr1 0.0000 0.2057 0.7943
Pr2 0.0000 0.7943 0.2057
Er1 0.0000 0.6120 0.6120
Cd1 0.5000 0.2061 0.4604
Cd2 0.5000 0.4604 0.2061
Cd3 0.5000 0.9518 0.9518
Ir1 0.5000 0.5424 0.8627
Ir2 0.5000 0.8627 0.5424
Pt1 0.0000 0.2132 0.2132

Computed properties:
Energy of formation from the pure elements (eV per atom): -0.624

=====

5.
DFT (PBE) results for crystalline GaW at its relaxed geometry.

Unit cell a=3.6292 b=3.6292 c=3.6292 alpha=60.00 beta=60.00 gamma=60.00
Positions (direct):
Ga1 0.0000 0.0000 0.0000
W1 0.5000 0.5000 0.5000

Computed properties:
Energy above the most stable polymorph in this dataset (meV/atom): 748

=====

6.
DFT (PBE) results for crystalline LaNdAl2Cl2 at its relaxed geometry.

Unit cell a=4.3159 b=4.3159 c=11.6796 alpha=90.00 beta=90.00 gamma=120.00
Positions (direct):
La1 0.0000 0.0000 0.0000
Nd1 0.0000 0.0000 0.6235
Al1 0.3333 0.6667 0.8240
Al2 0.6667 0.3333 0.7956
Cl1 0.3333 0.6667 0.4897
Cl2 0.6667 0.3333 0.1389

=====

Per-record DFT total energy, eV/atom: -5.21; -5.20; -8.05; -5.13; -7.09; -4.77